# 1
# Mg5Cd4Pd, optimized geometry, DFT GGA-PBE
data_Mg5Cd4Pd
_chemical_formula_sum 'Mg5 Cd4 Pd1'
_cell_length_a 3.301
_cell_length_b 3.301
_cell_length_c 18.698
_cell_angle_alpha 90.00
_cell_angle_beta 90.00
_cell_angle_gamma 90.00
_space_group_name_H-M_alt 'P 4/m m m'
_space_group_IT_number 123
_space_group_name_Hall '-P 4 2'
loop_
_atom_site_label
_atom_site_type_symbol
_atom_site_fract_x
_atom_site_fract_y
_atom_site_fract_z
Mg1 Mg 0.000 0.000 0.000
Mg2 Mg 0.000 0.000 0.213
Mg3 Mg 0.000 0.000 0.421
Cd1 Cd 0.500 0.500 0.107
Cd2 Cd 0.500 0.500 0.318
Pd1 Pd 0.500 0.500 0.500
# N(E_F) (states/eV per atom): 0.287
# Electronic total energy (eV/atom): -1.9220

=====

# 2
# K4Ho3InSe8, optimized geometry, DFT GGA-PBE
data_K4Ho3InSe8
_chemical_formula_sum 'K12 Ho9 In3 Se24'
_cell_length_a 8.3611
_cell_length_b 8.3611
_cell_length_c 23.0753
_cell_angle_alpha 90.00
_cell_angle_beta 90.00
_cell_angle_gamma 120.00
_space_group_name_H-M_alt 'R -3 m'
_space_group_IT_number 166
_space_group_name_Hall '-R 3 2"'
loop_
_atom_site_label
_atom_site_type_symbol
_atom_site_fract_x
_atom_site_fract_y
_atom_site_fract_z
K1 K 0.0000 0.0000 0.0000
K2 K 0.0000 0.5000 0.0000
Ho1 Ho 0.0000 0.5000 0.5000
In1 In 0.0000 0.0000 0.5000
Se1 Se 0.0000 0.0000 0.2348
Se2 Se 0.0036 0.5018 0.2344
# Formation energy (no corrections) (eV per atom): -1.516

=====

# 3
# Sr2In12Hg, optimized geometry, DFT GGA-PBE
data_Sr2In12Hg
_chemical_formula_sum 'Sr4 In24 Hg2'
_cell_length_a 7.051
_cell_length_b 7.051
_cell_length_c 17.703
_cell_angle_alpha 90.00
_cell_angle_beta 90.00
_cell_angle_gamma 90.00
_space_group_name_H-M_alt 'P 4/n b m'
_space_group_IT_number 125
loop_
_space_group_symop_operation_xyz
'x,y,z'
'-x,-y,-z'
'-y+1/2,x,z'
'y+1/2,-x,-z'
'-x+1/2,-y+1/2,z'
'x+1/2,y+1/2,-z'
'y,-x+1/2,z'
'-y,x+1/2,-z'
'x,-y+1/2,-z'
'-x,y+1/2,z'
'-y+1/2,-x+1/2,-z'
'y+1/2,x+1/2,z'
'-x+1/2,y,-z'
'x+1/2,-y,z'
'y,x,-z'
'-y,-x,z'
loop_
_atom_site_label
_atom_site_type_symbol
_atom_site_fract_x
_atom_site_fract_y
_atom_site_fract_z
Sr1 Sr 0.250 0.750 0.249
In1 In 0.000 0.000 0.092
In2 In 0.084 0.584 0.431
In3 In 0.250 0.250 0.186
In4 In 0.250 0.250 0.347
Hg1 Hg 0.250 0.750 0.000
# N(E_F) (states/eV per atom): 0.391
# Electronic total energy (eV/atom): -2.5948

=====

# 4
# Mg2Zn2Cu5Ni, optimized geometry, DFT GGA-PBE
data_Mg2Zn2Cu5Ni
_chemical_formula_sum 'Mg4 Zn4 Cu10 Ni2'
_cell_length_a 8.963
_cell_length_b 8.963
_cell_length_c 3.549
_cell_angle_alpha 90.00
_cell_angle_beta 90.00
_cell_angle_gamma 90.00
_space_group_name_H-M_alt 'P 4/m b m'
_space_group_IT_number 127
_space_group_name_Hall '-P 4 2ab'
loop_
_atom_site_label
_atom_site_type_symbol
_atom_site_fract_x
_atom_site_fract_y
_atom_site_fract_z
Mg1 Mg 0.174 0.326 0.000
Zn1 Zn 0.126 0.626 0.000
Cu1 Cu 0.000 0.500 0.500
Cu2 Cu 0.061 0.809 0.500
Ni1 Ni 0.000 0.000 0.000
# N(E_F) (states/eV per atom): 0.442
# Electronic total energy (eV/atom): -3.2048

=====

# 5
# CaCoI, optimized geometry, DFT GGA-PBE
data_CaCoI
_chemical_formula_sum 'Ca2 Co2 I2'
_cell_length_a 4.017
_cell_length_b 4.018
_cell_length_c 12.647
_cell_angle_alpha 98.80
_cell_angle_beta 90.17
_cell_angle_gamma 120.00
_space_group_name_H-M_alt 'P 1'
_space_group_IT_number 1
_space_group_name_Hall 'P 1'
loop_
_atom_site_label
_atom_site_type_symbol
_atom_site_fract_x
_atom_site_fract_y
_atom_site_fract_z
Ca1 Ca 0.000 0.000 0.000
Ca2 Ca 0.116 0.224 0.346
Co1 Co 0.392 0.779 0.173
Co2 Co 0.725 0.446 0.173
I1 I 0.279 0.562 0.838
I2 I 0.503 0.996 0.508
# N(E_F) (states/eV per atom): 0.216
# Formation energy (no corrections) (eV per atom): -0.590

=====

# 6
# CoBr, optimized geometry, DFT GGA-PBE
data_CoBr
_chemical_formula_sum 'Co4 Br4'
_cell_length_a 3.9178
_cell_length_b 3.9178
_cell_length_c 14.0915
_cell_angle_alpha 90.00
_cell_angle_beta 90.00
_cell_angle_gamma 120.00
_space_group_name_H-M_alt 'P 63/m m c'
_space_group_IT_number 194
_space_group_name_Hall '-P 6c 2c'
loop_
_atom_site_label
_atom_site_type_symbol
_atom_site_fract_x
_atom_site_fract_y
_atom_site_fract_z
Co1 Co 0.0000 0.0000 0.2500
Co2 Co 0.3333 0.6667 0.2500
Br1 Br 0.3333 0.6667 0.6303
# N(E_F) (states/eV per atom): 0.891
# Formation energy (no corrections) (eV per atom): 0.312

=====

# 7
# LiAcH6Ir, optimized geometry, DFT GGA-PBE
data_LiAcH6Ir
_chemical_formula_sum 'Li1 Ac1 H6 Ir1'
_cell_length_a 4.7793
_cell_length_b 4.7793
_cell_length_c 4.5901
_cell_angle_alpha 90.00
_cell_angle_beta 90.00
_cell_angle_gamma 120.00
_space_group_name_H-M_alt 'P -6 m 2'
_space_group_IT_number 187
_space_group_name_Hall 'P -6 2'
loop_
_atom_site_label
_atom_site_type_symbol
_atom_site_fract_x
_atom_site_fract_y
_atom_site_fract_z
Li1 Li 0.0000 0.0000 0.0000
Ac1 Ac 0.6667 0.3333 0.5000
H1 H 0.1809 0.3618 0.2497
Ir1 Ir 0.3333 0.6667 0.0000
# N(E_F) (states/eV per atom): 0.214
# Electronic total energy (eV/atom): -4.3507

=====

# 8
# BaTl2Os3O12, optimized geometry, DFT GGA-PBE
data_BaTl2Os3O12
_chemical_formula_sum 'Ba3 Tl6 Os9 O36'
_cell_length_a 7.4137
_cell_length_b 7.4137
_cell_length_c 17.2623
_cell_angle_alpha 90.00
_cell_angle_beta 90.00
_cell_angle_gamma 120.00
_space_group_name_H-M_alt 'R -3 m'
_space_group_IT_number 166
_space_group_name_Hall '-R 3 2"'
loop_
_atom_site_label
_atom_site_type_symbol
_atom_site_fract_x
_atom_site_fract_y
_atom_site_fract_z
Ba1 Ba 0.0000 0.0000 0.0000
Tl1 Tl 0.0000 0.0000 0.3982
Os1 Os 0.0000 0.5000 0.5000
O1 O 0.0712 0.5356 0.3995
O2 O 0.0779 0.5389 0.8097
# N(E_F) (states/eV per atom): 0.217
# Formation energy (no corrections) (eV per atom): -1.173

=====

# 9
# LaLuRh, optimized geometry, DFT GGA-PBE
data_LaLuRh
_chemical_formula_sum 'La1 Lu1 Rh1'
_cell_length_a 4.0847
_cell_length_b 4.0847
_cell_length_c 6.2079
_cell_angle_alpha 90.00
_cell_angle_beta 90.00
_cell_angle_gamma 120.00
_space_group_name_H-M_alt 'P 3 m 1'
_space_group_IT_number 156
_space_group_name_Hall 'P 3 -2"'
loop_
_atom_site_label
_atom_site_type_symbol
_atom_site_fract_x
_atom_site_fract_y
_atom_site_fract_z
La1 La 0.0000 0.0000 0.0000
Lu1 Lu 0.6667 0.3333 0.4780
Rh1 Rh 0.3333 0.6667 0.2585
# N(E_F) (states/eV per atom): 0.931
# Electronic total energy (eV/atom): -6.1266

=====

# 10
# Ce2Y2S7, optimized geometry, DFT GGA-PBE
data_Ce2Y2S7
_chemical_formula_sum 'Ce4 Y4 S14'
_cell_length_a 3.977
_cell_length_b 13.926
_cell_length_c 8.622
_cell_angle_alpha 90.00
_cell_angle_beta 90.00
_cell_angle_gamma 90.00
_space_group_name_H-M_alt 'I m m 2'
_space_group_IT_number 44
_space_group_name_Hall 'I 2 -2'
loop_
_atom_site_label
_atom_site_type_symbol
_atom_site_fract_x
_atom_site_fract_y
_atom_site_fract_z
Ce1 Ce 0.000 0.240 0.000
Y1 Y 0.000 0.000 0.248
Y2 Y 0.000 0.500 0.208
S1 S 0.000 0.000 0.928
S2 S 0.000 0.111 0.524
S3 S 0.000 0.314 0.305
S4 S 0.000 0.362 0.697
# N(E_F) (states/eV per atom): 0.291
# Formation energy (no corrections) (eV per atom): -1.879

=====

# 11
# Li2RhAu, optimized geometry, DFT GGA-PBE
data_Li2RhAu
_chemical_formula_sum 'Li8 Rh4 Au4'
_cell_length_a 6.216
_cell_length_b 6.216
_cell_length_c 6.216
_cell_angle_alpha 90.00
_cell_angle_beta 90.00
_cell_angle_gamma 90.00
_space_group_name_H-M_alt 'F -4 3 m'
_space_group_IT_number 216
_space_group_name_Hall 'F -4 2 3'
loop_
_atom_site_label
_atom_site_type_symbol
_atom_site_fract_x
_atom_site_fract_y
_atom_site_fract_z
Li1 Li 0.000 0.000 0.000
Li2 Li 0.250 0.250 0.250
Rh1 Rh 0.000 0.000 0.500
Au1 Au 0.250 0.250 0.750
# N(E_F) (states/eV per atom): 1.208
# Electronic total energy (eV/atom): -3.8193

=====

# 12
# AcCePmRu2, optimized geometry, DFT GGA-PBE
data_AcCePmRu2
_chemical_formula_sum 'Ac4 Ce4 Pm4 Ru8'
_cell_length_a 15.507
_cell_length_b 4.259
_cell_length_c 11.332
_cell_angle_alpha 90.00
_cell_angle_beta 132.22
_cell_angle_gamma 90.00
_space_group_name_H-M_alt 'C 1 2/m 1'
_space_group_IT_number 12
_space_group_name_Hall '-C 2y'
loop_
_atom_site_label
_atom_site_type_symbol
_atom_site_fract_x
_atom_site_fract_y
_atom_site_fract_z
Ac1 Ac 0.163 0.000 0.210
Ce1 Ce 0.101 0.000 0.482
Pm1 Pm 0.116 0.500 0.861
Ru1 Ru 0.152 0.500 0.399
Ru2 Ru 0.178 0.000 0.759
# N(E_F) (states/eV per atom): 0.801
# Electronic total energy (eV/atom): -6.8915

=====

Please write out number 11 again, unchanged.
# Li2RhAu, optimized geometry, DFT GGA-PBE
data_Li2RhAu
_chemical_formula_sum 'Li8 Rh4 Au4'
_cell_length_a 6.216
_cell_length_b 6.216
_cell_length_c 6.216
_cell_angle_alpha 90.00
_cell_angle_beta 90.00
_cell_angle_gamma 90.00
_space_group_name_H-M_alt 'F -4 3 m'
_space_group_IT_number 216
_space_group_name_Hall 'F -4 2 3'
loop_
_atom_site_label
_atom_site_type_symbol
_atom_site_fract_x
_atom_site_fract_y
_atom_site_fract_z
Li1 Li 0.000 0.000 0.000
Li2 Li 0.250 0.250 0.250
Rh1 Rh 0.000 0.000 0.500
Au1 Au 0.250 0.250 0.750
# N(E_F) (states/eV per atom): 1.208
# Electronic total energy (eV/atom): -3.8193